1.
NaRhI2O PBE relaxed; symmetry = P4/mmm, No. 123; E_form (uncorrected) = 3.6 eV per formula unit
1.0
5.5617 0.0000 0.0000
0.0000 5.5617 0.0000
0.0000 0.0000 3.9674
Na Rh I O
1 1 2 1
Cartesian
0.0000 0.0000 0.0000 Na
2.7809 2.7809 1.9837 Rh
0.0000 2.7809 0.0000 I
2.7809 0.0000 0.0000 I
0.0000 0.0000 1.9837 O

---

2.
NaRuIO2 PBE relaxed; symmetry = P4/mmm, No. 123; E_form (uncorrected) = 2.4 eV per formula unit
1.0
4.3060 0.0000 0.0000
0.0000 4.3060 0.0000
0.0000 0.0000 4.9331
Na Ru I O
1 1 1 2
Cartesian
0.0000 0.0000 0.0000 Na
2.1530 2.1530 0.0000 Ru
2.1530 2.1530 2.4665 I
0.0000 2.1530 2.4665 O
2.1530 0.0000 2.4665 O

---

3.
NaRuIO2 PBE relaxed; symmetry = P4/mmm, No. 123; E_form (uncorrected) = -3.3 eV per formula unit
1.0
3.9402 0.0000 0.0000
0.0000 3.9402 0.0000
0.0000 0.0000 5.7683
Na Ru I O
1 1 1 2
Cartesian
0.0000 0.0000 0.0000 Na
1.9701 1.9701 2.8841 Ru
1.9701 1.9701 0.0000 I
0.0000 1.9701 2.8841 O
1.9701 0.0000 2.8841 O

---

4.
NaRuIO2 PBE relaxed; symmetry = P4/mmm, No. 123; E_form (uncorrected) = 4.5 eV per formula unit
1.0
4.1666 0.0000 0.0000
0.0000 4.1666 0.0000
0.0000 0.0000 5.7820
Na Ru I O
1 1 1 2
Cartesian
0.0000 0.0000 0.0000 Na
2.0833 2.0833 2.8910 Ru
0.0000 0.0000 2.8910 I
0.0000 2.0833 0.0000 O
2.0833 0.0000 0.0000 O